Compound: Dy3Ga2Ni
Source: Alexandria via LeMat-Bulk
Functional: PBE
Structure: relaxed

Properties
Magnetic moment = 0.0 μB/cell
Calculated formation energy = -0.55 eV/atom
V = 22.813 Å³ per atom

POSCAR file:
```
Dy3Ga2Ni
1.0
11.651 0.000 0.000
0.000 4.271 0.000
0.000 0.000 11.004
Dy Ga Ni
12 8 4
Cartesian
0.585 1.068 1.419
1.377 3.203 6.170
2.641 1.068 8.829
3.185 3.203 3.327
4.448 1.068 0.668
5.240 3.203 6.920
6.410 1.068 4.083
7.203 3.203 10.335
8.466 1.068 7.676
9.010 3.203 2.174
10.273 1.068 4.833
11.065 3.203 9.585
0.197 3.203 3.424
2.253 3.203 0.042
3.572 1.068 5.544
5.628 1.068 8.926
6.022 3.203 2.078
8.078 3.203 5.460
9.398 1.068 10.961
11.453 1.068 7.579
1.438 1.068 4.160
4.387 3.203 9.662
7.264 1.068 1.342
10.212 3.203 6.843
```